(P)
K2InPb after structural relaxation, computed with GGA-PBEsol.

Computed properties:
**ρ**: 4.6 g cm⁻³
**SG**: No. 8
**DOS at the Fermi energy**: 2.1 states/eV/f.u.

POSCAR file:
```
K2InPb
1.0
6.675 -2.025 0.000
6.675 2.025 0.000
-2.728 0.000 5.401
K In Pb
2 1 1
Direct
0.000 0.000 0.000 K
0.199 0.199 0.698 K
0.758 0.758 0.256 In
0.439 0.439 0.440 Pb
```

***

(Q)
K2InPb after structural relaxation, computed with GGA-PBEsol.

Computed properties:
**ρ**: 4.8 g cm⁻³
**SG**: No. 6
**DOS at the Fermi energy**: 2.2 states/eV/f.u.

POSCAR file:
```
K2InPb
1.0
3.785 0.000 0.000
0.000 5.186 0.000
-1.685 0.000 7.067
K In Pb
2 1 1
Direct
0.000 0.000 0.000 K
0.296 0.500 0.661 K
0.696 0.000 0.449 In
0.601 0.500 0.215 Pb
```

***

(R)
K2InPb after structural relaxation, computed with GGA-PBEsol.

Computed properties:
**ρ**: 5.0 g cm⁻³
**SG**: No. 65
**DOS at the Fermi energy**: 3.3 states/eV/f.u.

POSCAR file:
```
K2InPb
1.0
2.405 -2.416 0.000
2.405 2.416 0.000
0.000 0.000 11.423
K In Pb
2 1 1
Direct
0.000 0.000 0.248 K
0.000 0.000 0.752 K
0.500 0.500 0.500 In
0.500 0.500 0.000 Pb
```

***

Which of them is the most stable? Correct choice: (P).

***

(P)
K2TlIn after structural relaxation, computed with GGA-PBEsol.

Computed properties:
**ρ**: 4.6 g cm⁻³
**SG**: No. 8
**DOS at the Fermi energy**: 2.1 states/eV/f.u.

POSCAR file:
```
K2TlIn
1.0
6.767 -1.937 0.000
6.767 1.937 0.000
-2.640 0.000 5.517
K Tl In
2 1 1
Direct
0.000 0.000 0.000 K
0.197 0.197 0.689 K
0.443 0.443 0.447 Tl
0.758 0.758 0.247 In
```

***

(Q)
K2TlIn after structural relaxation, computed with GGA-PBEsol.

Computed properties:
**ρ**: 4.5 g cm⁻³
**SG**: No. 6
**DOS at the Fermi energy**: 2.2 states/eV/f.u.

POSCAR file:
```
K2TlIn
1.0
4.027 0.000 0.000
0.000 5.243 0.000
-1.990 0.000 6.980
K Tl In
2 1 1
Direct
0.000 0.000 0.000 K
0.322 0.500 0.651 K
0.610 0.500 0.222 Tl
0.712 0.000 0.428 In
```

***

(R)
K2TlIn after structural relaxation, computed with GGA-PBEsol.

Computed properties:
**ρ**: 4.8 g cm⁻³
**SG**: No. 47
**DOS at the Fermi energy**: 2.9 states/eV/f.u.

POSCAR file:
```
K2TlIn
1.0
4.660 0.000 0.000
0.000 5.219 0.000
0.000 0.000 5.626
K Tl In
2 1 1
Direct
0.000 0.000 0.000 K
0.500 0.500 0.000 K
0.000 0.500 0.500 Tl
0.500 0.000 0.500 In
```

***

(S)
K2TlIn after structural relaxation, computed with GGA-PBEsol.

Computed properties:
**ρ**: 5.4 g cm⁻³
**SG**: No. 216
**DOS at the Fermi energy**: 0.8 states/eV/f.u.

POSCAR file:
```
K2TlIn
1.0
0.000 3.947 3.947
3.947 0.000 3.947
3.947 3.947 0.000
K Tl In
2 1 1
Direct
0.000 0.000 0.000 K
0.250 0.250 0.250 K
0.750 0.750 0.750 Tl
0.500 0.500 0.500 In
```

***

Which of them is the most stable? Correct choice: (S).

***

(P)
KTlIn2 after structural relaxation, computed with GGA-PBEsol.

Computed properties:
**ρ**: 6.6 g cm⁻³
**SG**: No. 6
**DOS at the Fermi energy**: 1.5 states/eV/f.u.

POSCAR file:
```
KTlIn2
1.0
3.379 0.000 0.000
0.000 4.744 0.000
-1.388 0.000 7.422
K Tl In
1 1 2
Direct
0.000 0.000 0.000 K
0.593 0.500 0.292 Tl
0.039 0.000 0.505 In
0.410 0.500 0.706 In
```

***

(Q)
KTlIn2 after structural relaxation, computed with GGA-PBEsol.

Computed properties:
**ρ**: 6.7 g cm⁻³
**SG**: No. 71
**DOS at the Fermi energy**: 2.1 states/eV/f.u.

POSCAR file:
```
KTlIn2
1.0
-2.062 2.648 5.353
2.062 -2.648 5.353
2.062 2.648 -5.353
K Tl In
1 1 2
Direct
0.000 0.000 0.000 K
0.500 0.500 0.000 Tl
0.266 0.766 0.500 In
0.734 0.234 0.500 In
```

***

Which of them is the most stable? Correct choice: (P).

***

(P)
KTlIn2 after structural relaxation, computed with GGA-PBEsol.

Computed properties:
**ρ**: 6.3 g cm⁻³
**SG**: No. 8
**DOS at the Fermi energy**: 1.5 states/eV/f.u.

POSCAR file:
```
KTlIn2
1.0
4.680 -1.733 0.000
4.680 1.733 0.000
-1.019 0.000 7.657
K Tl In
1 1 2
Direct
0.000 0.000 0.000 K
0.757 0.757 0.303 Tl
0.243 0.243 0.693 In
0.501 0.501 0.513 In
```

***

(Q)
KTlIn2 after structural relaxation, computed with GGA-PBEsol.

Computed properties:
**ρ**: 6.5 g cm⁻³
**SG**: No. 123
**DOS at the Fermi energy**: 1.8 states/eV/f.u.

POSCAR file:
```
KTlIn2
1.0
3.847 0.000 0.000
0.000 3.847 0.000
0.000 0.000 8.187
K Tl In
1 1 2
Direct
0.000 0.000 0.000 K
0.000 0.000 0.500 Tl
0.500 0.500 0.298 In
0.500 0.500 0.702 In
```

***

Which of them is the most stable? Correct choice: (P).

***

(P)
KTlIn2 after structural relaxation, computed with GGA-PBEsol.

Computed properties:
**ρ**: 6.6 g cm⁻³
**SG**: No. 10
**DOS at the Fermi energy**: 1.8 states/eV/f.u.

POSCAR file:
```
KTlIn2
1.0
3.387 0.000 0.000
0.000 4.787 0.000
-1.254 0.000 7.394
K Tl In
1 1 2
Direct
0.000 0.000 0.000 K
0.000 0.000 0.500 Tl
0.415 0.500 0.706 In
0.585 0.500 0.294 In
```

***

(Q)
KTlIn2 after structural relaxation, computed with GGA-PBEsol.

Computed properties:
**ρ**: 7.1 g cm⁻³
**SG**: No. 216
**DOS at the Fermi energy**: 1.2 states/eV/f.u.

POSCAR file:
```
KTlIn2
1.0
0.000 3.816 3.816
3.816 0.000 3.816
3.816 3.816 0.000
K Tl In
1 1 2
Direct
0.000 0.000 0.000 K
0.250 0.250 0.250 Tl
0.500 0.500 0.500 In
0.750 0.750 0.750 In
```

***

(R)
KTlIn2 after structural relaxation, computed with GGA-PBEsol.

Computed properties:
**ρ**: 6.6 g cm⁻³
**SG**: No. 35
**DOS at the Fermi energy**: 1.8 states/eV/f.u.

POSCAR file:
```
KTlIn2
1.0
2.658 -2.706 0.000
2.658 2.706 0.000
0.000 0.000 8.228
K Tl In
1 1 2
Direct
0.000 0.000 0.000 K
0.500 0.500 0.293 Tl
0.000 0.000 0.507 In
0.500 0.500 0.704 In
```

***

Which of them is the most stable? Correct choice: (R).

***

(P)
KTlIn after structural relaxation, computed with GGA-PBEsol.

Computed properties:
**ρ**: 6.6 g cm⁻³
**SG**: No. 187
**DOS at the Fermi energy**: 1.2 states/eV/f.u.

POSCAR file:
```
KTlIn
1.0
5.262 0.000 0.000
-2.631 4.557 0.000
0.000 0.000 3.748
K Tl In
1 1 1
Direct
0.000 0.000 0.000 K
0.333 0.667 0.500 Tl
0.667 0.333 0.500 In
```

***

(Q)
KTlIn after structural relaxation, computed with GGA-PBEsol.

Computed properties:
**ρ**: 6.4 g cm⁻³
**SG**: No. 107
**DOS at the Fermi energy**: 1.5 states/eV/f.u.

POSCAR file:
```
KTlIn
1.0
-1.821 1.821 6.961
1.821 -1.821 6.961
1.821 1.821 -6.961
K Tl In
1 1 1
Direct
0.000 0.000 0.000 K
0.681 0.681 0.000 Tl
0.318 0.318 0.000 In
```

***

Which of them is the most stable? Correct choice: (P).

***

(P)
KIn2W after structural relaxation, computed with GGA-PBEsol.

Computed properties:
**ρ**: 6.6 g cm⁻³
**SG**: No. 25
**DOS at the Fermi energy**: 4.4 states/eV/f.u.

POSCAR file:
```
KIn2W
1.0
2.918 0.000 0.000
0.000 4.678 0.000
0.000 0.000 8.280
K In W
1 2 1
Direct
0.000 0.000 0.000 K
0.000 0.000 0.405 In
0.500 0.500 0.683 In
0.500 0.500 0.354 W
```

***

(Q)
KIn2W after structural relaxation, computed with GGA-PBEsol.

Computed properties:
**ρ**: 8.3 g cm⁻³
**SG**: No. 99
**DOS at the Fermi energy**: 2.0 states/eV/f.u.

POSCAR file:
```
KIn2W
1.0
2.942 0.000 0.000
0.000 2.942 0.000
0.000 0.000 10.486
K In W
1 2 1
Direct
0.000 0.000 0.000 K
0.000 0.000 0.472 In
0.500 0.500 0.713 In
0.500 0.500 0.273 W
```

***

Which of them is the most stable? Correct choice: (Q).

***

(P)
La5In after structural relaxation, computed with GGA-PBEsol.

Computed properties:
**ρ**: 7.1 g cm⁻³
**SG**: No. 65
**DOS at the Fermi energy**: 6.8 states/eV/f.u.

POSCAR file:
```
La5In
1.0
2.463 -7.641 0.000
2.463 7.641 0.000
0.000 0.000 5.001
La In
5 1
Direct
0.000 0.000 0.000 La
0.169 0.831 0.500 La
0.342 0.658 0.000 La
0.658 0.342 0.000 La
0.831 0.169 0.500 La
0.500 0.500 0.500 In
```

***

(Q)
La5In after structural relaxation, computed with GGA-PBEsol.

Computed properties:
**ρ**: 7.0 g cm⁻³
**SG**: No. 38
**DOS at the Fermi energy**: 8.3 states/eV/f.u.

POSCAR file:
```
La5In
1.0
5.764 0.000 0.000
0.000 1.824 9.089
0.000 -1.824 9.089
La In
5 1
Direct
0.000 0.000 0.000 La
0.000 0.318 0.318 La
0.500 0.123 0.123 La
0.500 0.450 0.450 La
0.500 0.777 0.777 La
0.000 0.662 0.662 In
```

***

Which of them is the most stable? Correct choice: (P).

***

(P)
LaIn2Mo after structural relaxation, computed with GGA-PBEsol.

Computed properties:
**ρ**: 8.2 g cm⁻³
**SG**: No. 25
**DOS at the Fermi energy**: 4.6 states/eV/f.u.

POSCAR file:
```
LaIn2Mo
1.0
3.441 0.000 0.000
0.000 3.701 0.000
0.000 0.000 7.429
La In Mo
1 2 1
Direct
0.000 0.000 0.000 La
0.000 0.000 0.427 In
0.500 0.500 0.669 In
0.500 0.500 0.260 Mo
```

***

(Q)
LaIn2Mo after structural relaxation, computed with GGA-PBEsol.

Computed properties:
**ρ**: 8.6 g cm⁻³
**SG**: No. 139
**DOS at the Fermi energy**: 3.0 states/eV/f.u.

POSCAR file:
```
LaIn2Mo
1.0
-2.274 2.274 4.323
2.274 -2.274 4.323
2.274 2.274 -4.323
La In Mo
1 2 1
Direct
0.000 0.000 0.000 La
0.250 0.750 0.500 In
0.750 0.250 0.500 In
0.500 0.500 0.000 Mo
```

***

Which of them is the most stable? Correct choice: (Q).

***

(P)
LaScIn2Mo after structural relaxation, computed with GGA-PBEsol.

Computed properties:
**ρ**: 5.6 g cm⁻³
**SG**: No. 123
**DOS at the Fermi energy**: 6.9 states/eV/f.u.

POSCAR file:
```
LaScIn2Mo
1.0
5.686 0.000 0.000
0.000 5.686 0.000
0.000 0.000 4.702
La Sc In Mo
1 1 2 1
Direct
0.000 0.000 0.000 La
0.500 0.500 0.500 Sc
0.000 0.500 0.000 In
0.500 0.000 0.000 In
0.000 0.000 0.500 Mo
```

***

(Q)
LaScIn2Mo after structural relaxation, computed with GGA-PBEsol.

Computed properties:
**ρ**: 5.7 g cm⁻³
**SG**: No. 123
**DOS at the Fermi energy**: 6.2 states/eV/f.u.

POSCAR file:
```
LaScIn2Mo
1.0
5.366 0.000 0.000
0.000 5.366 0.000
0.000 0.000 5.170
La Sc In Mo
1 1 2 1
Direct
0.000 0.000 0.000 La
0.000 0.000 0.500 Sc
0.000 0.500 0.500 In
0.500 0.000 0.500 In
0.500 0.500 0.000 Mo
```

***

Which of them is the most stable? Correct choice: (Q).

***

(P)
LaInPb after structural relaxation, computed with GGA-PBEsol.

Computed properties:
**ρ**: 8.6 g cm⁻³
**SG**: No. 156
**DOS at the Fermi energy**: 0.6 states/eV/f.u.

POSCAR file:
```
LaInPb
1.0
4.774 0.000 0.000
-2.387 4.134 0.000
0.000 0.000 4.502
La In Pb
1 1 1
Direct
0.000 0.000 0.000 La
0.667 0.333 0.634 In
0.333 0.667 0.399 Pb
```

***

(Q)
LaInPb after structural relaxation, computed with GGA-PBEsol.

Computed properties:
**ρ**: 7.8 g cm⁻³
**SG**: No. 216
**DOS at the Fermi energy**: 2.8 states/eV/f.u.

POSCAR file:
```
LaInPb
1.0
0.000 3.655 3.655
3.655 0.000 3.655
3.655 3.655 0.000
La In Pb
1 1 1
Direct
0.000 0.000 0.000 La
0.500 0.500 0.500 In
0.250 0.250 0.250 Pb
```

***

Which of them is the most stable? Correct choice: (P).

***

(P)
La2InSb after structural relaxation, computed with GGA-PBEsol.

Computed properties:
**ρ**: 7.3 g cm⁻³
**SG**: No. 123
**DOS at the Fermi energy**: 2.3 states/eV/f.u.

POSCAR file:
```
La2InSb
1.0
4.062 0.000 0.000
0.000 4.062 0.000
0.000 0.000 7.065
La In Sb
2 1 1
Direct
0.000 0.000 0.239 La
0.000 0.000 0.761 La
0.500 0.500 0.500 In
0.500 0.500 0.000 Sb
```

***

(Q)
La2InSb after structural relaxation, computed with GGA-PBEsol.

Computed properties:
**ρ**: 6.4 g cm⁻³
**SG**: No. 47
**DOS at the Fermi energy**: 4.1 states/eV/f.u.

POSCAR file:
```
La2InSb
1.0
4.243 0.000 0.000
0.000 4.878 0.000
0.000 0.000 6.453
La In Sb
2 1 1
Direct
0.000 0.000 0.000 La
0.500 0.500 0.500 La
0.000 0.000 0.500 In
0.500 0.500 0.000 Sb
```

***

(R)
La2InSb after structural relaxation, computed with GGA-PBEsol.

Computed properties:
**ρ**: 7.4 g cm⁻³
**SG**: No. 44
**DOS at the Fermi energy**: 3.1 states/eV/f.u.

POSCAR file:
```
La2InSb
1.0
-2.203 2.415 5.429
2.203 -2.415 5.429
2.203 2.415 -5.429
La In Sb
2 1 1
Direct
0.000 0.000 0.000 La
0.741 0.241 0.500 La
0.478 0.478 0.000 In
0.254 0.754 0.500 Sb
```

***

Which of them is the most stable? Correct choice: (P).

***

(P)
LaYIn after structural relaxation, computed with GGA-PBEsol.

Computed properties:
**ρ**: 6.1 g cm⁻³
**SG**: No. 216
**DOS at the Fermi energy**: 4.9 states/eV/f.u.

POSCAR file:
```
LaYIn
1.0
0.000 3.603 3.603
3.603 0.000 3.603
3.603 3.603 0.000
La Y In
1 1 1
Direct
0.000 0.000 0.000 La
0.750 0.750 0.750 Y
0.500 0.500 0.500 In
```

***

(Q)
LaYIn after structural relaxation, computed with GGA-PBEsol.

Computed properties:
**ρ**: 6.7 g cm⁻³
**SG**: No. 44
**DOS at the Fermi energy**: 3.2 states/eV/f.u.

POSCAR file:
```
LaYIn
1.0
-1.792 2.262 5.255
1.792 -2.262 5.255
1.792 2.262 -5.255
La Y In
1 1 1
Direct
0.000 0.000 0.000 La
0.696 0.696 0.000 Y
0.335 0.335 0.000 In
```

***

Which of them is the most stable? Correct choice: (Q).